Record 1
First-principles (PBE-GGA) data for a relaxed TbPmOs crystal, as listed in Alexandria via LeMat-Bulk.

```
TbPmOs
1.0
3.4455 0.0000 0.0000
0.0104 6.8519 0.0000
1.7090 1.7342 6.7922
Tb Pm Os
2 2 2
Cartesian
0.8541 0.8606 1.7356
4.3108 7.7255 5.0567
0.8600 4.3008 1.6844
4.3049 4.2853 5.1079
2.5796 2.5564 3.3897
2.5853 6.0298 3.4025
```

ΔE to the lowest computed polymorph = 0.0018 eV per atom
Crystal system = triclinic
ΔE_f = -0.134 eV per atom
Calculated density = 10.234 Mg/m³

---

Record 2
First-principles (PBE-GGA) data for a relaxed Eu2HgTe crystal, as listed in Alexandria via LeMat-Bulk.

```
Eu2HgTe
1.0
4.0305 0.0000 0.0000
0.0000 4.0305 0.0000
0.0000 0.0000 7.5411
Eu Hg Te
2 1 1
Cartesian
0.0000 0.0000 1.8620
0.0000 0.0000 5.6791
2.0153 2.0153 3.7705
2.0153 2.0153 0.0000
```

ΔE to the lowest computed polymorph = 0.0000 eV per atom
Crystal system = tetragonal
Raw formation energy = -0.987 eV/atom
Calculated density = 8.568 Mg/m³

---

Record 3
First-principles (PBE-GGA) data for a relaxed Li4CeAs2 crystal, as listed in Alexandria via LeMat-Bulk.

```
Li4CeAs2
1.0
7.8106 0.0000 0.0000
0.0000 7.8106 0.0000
0.0000 0.0000 4.1923
Li Ce As
8 2 4
Cartesian
0.7443 2.6082 0.0000
1.2971 4.6496 2.0961
2.6082 0.7443 0.0000
3.1610 6.5135 2.0961
4.6496 1.2971 2.0961
5.2023 7.0663 0.0000
6.5135 3.1610 2.0961
7.0663 5.2023 0.0000
0.0000 0.0000 2.0961
3.9053 3.9053 0.0000
1.6629 6.1477 0.0000
2.2424 2.2424 2.0961
5.5682 5.5682 2.0961
6.1477 1.6629 0.0000
```

Crystal system = tetragonal
ΔE_f = -0.776 eV per atom
Calculated density = 4.126 Mg/m³

---

Record 4
First-principles (PBE-GGA) data for a relaxed CoReAg3 crystal, as listed in Alexandria via LeMat-Bulk.

```
CoReAg3
1.0
4.6969 0.0000 0.0000
0.0000 4.6969 0.0000
0.0000 0.0000 4.6969
Co Re Ag
1 1 3
Cartesian
0.0000 0.0000 0.0000
2.3485 2.3485 2.3485
0.0000 0.0000 2.3485
0.0000 2.3485 0.0000
2.3485 0.0000 0.0000
```

Crystal system = cubic
ΔE_f = 1.768 eV per atom
Calculated density = 9.114 Mg/m³

---

Record 5
First-principles (PBE-GGA) data for a relaxed La2AlGaCo crystal, as listed in Alexandria via LeMat-Bulk.

```
La2AlGaCo
1.0
5.2202 0.0000 0.0000
0.0000 5.2202 0.0000
0.0000 0.0000 4.6493
La Al Ga Co
2 1 1 1
Cartesian
0.0000 2.6101 0.0000
2.6101 0.0000 0.0000
0.0000 0.0000 2.3247
2.6101 2.6101 2.3247
0.0000 0.0000 0.0000
```

Crystal system = tetragonal
ΔE_f = -0.324 eV per atom
Calculated density = 5.681 Mg/m³

---

Record 6
First-principles (PBE-GGA) data for a relaxed CaCeDy2Te4 crystal, as listed in Alexandria via LeMat-Bulk.

```
CaCeDy2Te4
1.0
7.6390 0.0000 0.0000
0.0000 4.3978 0.0000
-2.5327 0.0000 7.2881
Ca Ce Dy Te
1 1 2 4
Cartesian
0.0000 0.0000 0.0000
-1.2663 2.1989 3.6440
2.5532 0.0000 3.6440
3.8195 2.1989 0.0000
1.3310 2.1989 1.8160
0.0609 0.0000 5.5131
5.0454 0.0000 1.7750
3.7754 2.1989 5.4721
```

Crystal system = monoclinic
Raw formation energy = -1.384 eV/atom
Calculated density = 6.888 Mg/m³

---

Record 7
First-principles (PBE-GGA) data for a relaxed NiSnTe3 crystal, as listed in Alexandria via LeMat-Bulk.

```
NiSnTe3
1.0
5.0926 0.0000 0.0000
0.0000 5.0926 0.0000
0.0000 0.0000 5.0926
Ni Sn Te
1 1 3
Cartesian
0.0000 0.0000 0.0000
2.5463 2.5463 2.5463
0.0000 0.0000 2.5463
0.0000 2.5463 0.0000
2.5463 0.0000 0.0000
```

ΔE to the lowest computed polymorph = 0.0000 eV per atom
Crystal system = cubic
Raw formation energy = 0.141 eV/atom
Calculated density = 7.043 Mg/m³

---

Number 1: DOS(E_F) 0.489 states/eV/atom. Number 2: DOS(E_F) 3.450 states/eV/atom. Number 3: DOS(E_F) 1.168 states/eV/atom. Number 4: DOS(E_F) 1.162 states/eV/atom. Number 5: DOS(E_F) 0.904 states/eV/atom. Number 6: DOS(E_F) 1.206 states/eV/atom. Number 7: DOS(E_F) 0.746 states/eV/atom.